Computed, not measured: Pr4Co2Au after structural relaxation at the PBE level of DFT.

Calculated values
**E_tot**: -5.349 eV/atom

```
Pr4Co2Au
1.0
-2.946 2.651 -0.428
-2.025 -4.911 2.090
3.091 6.314 17.832
Co Pr Au
4 8 2
Direct
0.784 0.567 0.518
0.216 0.433 0.018
0.784 0.567 0.982
0.216 0.433 0.482
0.500 0.000 0.000
0.218 0.435 0.871
0.933 0.866 0.750
0.500 0.000 0.500
0.218 0.435 0.629
0.782 0.565 0.129
0.067 0.134 0.250
0.782 0.565 0.371
0.354 0.709 0.250
0.646 0.291 0.750
```

=====

Computed, not measured: Pr5CoAu after structural relaxation at the PBE level of DFT.

Calculated values
**E_tot**: -5.013 eV/atom

```
Pr5CoAu
1.0
6.904 0.526 -0.021
2.689 6.380 -0.021
3.462 2.492 10.210
Au Pr Co
2 10 2
Direct
0.477 0.523 0.750
0.523 0.477 0.250
0.049 0.951 0.750
0.612 0.955 0.641
0.045 0.388 0.859
0.776 0.441 0.486
0.955 0.612 0.141
0.951 0.049 0.250
0.388 0.045 0.359
0.224 0.559 0.514
0.559 0.224 0.014
0.441 0.776 0.986
0.000 0.000 0.500
0.000 0.000 0.000
```

=====

Computed, not measured: Pr8CoAu2 after structural relaxation at the PBE level of DFT.

Calculated values
**E_tot**: -4.984 eV/atom

```
Pr8CoAu2
1.0
4.726 0.000 0.000
0.000 7.444 1.199
-2.363 -1.764 9.230
Pr Au Co
8 2 1
Direct
0.406 0.515 0.812
0.594 0.485 0.188
0.010 0.777 0.020
0.221 0.321 0.442
0.779 0.679 0.558
0.640 0.999 0.281
0.360 0.001 0.719
0.990 0.223 0.980
0.177 0.734 0.355
0.823 0.266 0.645
0.500 0.000 0.000
```

=====

Computed, not measured: Pr4CoAu2 after structural relaxation at the PBE level of DFT.

Calculated values
**E_tot**: -4.972 eV/atom

```
Pr4CoAu2
1.0
-0.154 5.177 0.319
-0.676 -0.337 5.134
7.181 2.583 3.737
Pr Au Co
4 2 1
Direct
0.000 0.500 0.000
0.185 0.185 0.630
0.815 0.815 0.370
0.500 0.000 0.000
0.623 0.623 0.754
0.377 0.377 0.246
0.000 0.000 0.000
```

=====

Computed, not measured: Pr5Co2Au after structural relaxation at the PBE level of DFT.

Calculated values
**E_tot**: -5.400 eV/atom

```
Pr5Co2Au
1.0
7.075 0.000 -3.340
-1.577 6.898 -3.340
-0.174 -0.218 8.797
Pr Co Au
10 4 2
Direct
0.500 0.500 0.000
0.000 0.000 0.000
0.471 0.298 0.269
0.798 0.971 0.269
0.702 0.202 0.731
0.298 0.798 0.269
0.971 0.471 0.269
0.202 0.029 0.731
0.029 0.529 0.731
0.529 0.702 0.731
0.871 0.629 0.000
0.629 0.129 0.000
0.129 0.371 0.000
0.371 0.871 0.000
0.750 0.750 0.500
0.250 0.250 0.500
```

=====

Computed, not measured: TbPrCoAu after structural relaxation at the PBE level of DFT.

Calculated values
**E_tot**: -5.286 eV/atom

```
TbPrCoAu
1.0
-0.644 -4.582 2.033
3.778 -3.356 -0.085
2.390 -1.223 4.282
Pr Tb Co Au
1 1 1 1
Direct
0.250 0.250 0.250
0.750 0.750 0.750
0.500 0.500 0.500
0.000 0.000 0.000
```

=====

Computed, not measured: PrTmCoAu after structural relaxation at the PBE level of DFT.

Calculated values
**E_tot**: -5.265 eV/atom

```
PrTmCoAu
1.0
-1.700 -4.624 0.933
2.209 -3.962 -2.138
2.723 -3.158 2.785
Au Tm Co Pr
1 1 1 1
Direct
0.000 0.000 0.000
0.750 0.750 0.750
0.500 0.500 0.500
0.250 0.250 0.250
```

=====

Computed, not measured: PrYCoAu after structural relaxation at the PBE level of DFT.

Calculated values
**E_tot**: -5.747 eV/atom

```
PrYCoAu
1.0
-0.516 3.637 -3.469
-4.373 0.528 -2.476
-2.968 3.981 0.935
Au Y Co Pr
1 1 1 1
Direct
0.000 0.000 0.000
0.750 0.750 0.750
0.500 0.500 0.500
0.250 0.250 0.250
```

=====

Computed, not measured: CoPtAu2 after structural relaxation at the PBE level of DFT.

Calculated values
**E_tot**: -4.756 eV/atom

```
CoPtAu2
1.0
3.965 0.000 0.000
0.000 3.965 0.000
0.000 0.000 4.035
Au Co Pt
2 1 1
Direct
0.500 0.500 0.000
0.000 0.000 0.000
0.500 0.000 0.500
0.000 0.500 0.500
```

=====

Computed, not measured: CoPt2Au after structural relaxation at the PBE level of DFT.

Calculated values
**E_tot**: -5.592 eV/atom

```
CoPt2Au
1.0
-6.092 -5.768 3.792
-4.026 -6.065 5.637
-5.842 -3.970 5.906
Pt Au Co
2 1 1
Direct
0.006 0.006 0.006
0.252 0.252 0.252
0.495 0.495 0.495
0.747 0.747 0.747
```

=====

Computed, not measured: Co2PtAu after structural relaxation at the PBE level of DFT.

Calculated values
**E_tot**: -5.741 eV/atom

```
Co2PtAu
1.0
8.954 0.014 0.008
8.534 2.710 0.008
8.534 1.330 2.362
Co Au Pt
2 1 1
Direct
0.997 0.997 0.997
0.503 0.503 0.503
0.750 0.750 0.750
0.250 0.250 0.250
```

=====

Computed, not measured: CoPtAu2 after structural relaxation at the PBE level of DFT.

Calculated values
**E_tot**: -4.883 eV/atom

```
CoPtAu2
1.0
-0.455 -2.148 1.793
2.683 0.181 0.897
-2.204 5.108 5.560
Au Pt Co
2 1 1
Direct
0.500 0.500 0.274
0.000 0.000 0.992
0.500 0.500 0.720
0.000 0.000 0.513
```

=====

Number 1: size of the total moment 2.42 μB per cell, calculated density 7.14 g/cm3. Number 2: size of the total moment 0.00 μB per cell, calculated density 7.32 g/cm3. Number 3: size of the total moment 0.00 μB per cell, calculated density 7.84 g/cm3. Number 4: size of the total moment 0.00 μB per cell, calculated density 8.18 g/cm3. Number 5: size of the total moment 0.00 μB per cell, calculated density 8.08 g/cm3. Number 6: size of the total moment 0.56 μB per cell, calculated density 10.11 g/cm3. Number 7: size of the total moment 0.66 μB per cell, calculated density 10.54 g/cm3. Number 8: size of the total moment 0.59 μB per cell, calculated density 8.84 g/cm3. Number 9: size of the total moment 2.32 μB per cell, calculated density 16.97 g/cm3. Number 10: size of the total moment 2.42 μB per cell, calculated density 17.61 g/cm3. Number 11: size of the total moment 3.70 μB per cell, calculated density 14.90 g/cm3. Number 12: size of the total moment 2.28 μB per cell, calculated density 17.02 g/cm3.